## AcEuRh (PBE)

Data for a relaxed AcEuRh crystal.

Lattice parameters (Å, degrees): 5.1091 5.1091 5.1091 60.00 60.00 60.00
Sites, in units of the cell vectors:
Ac 0.0000 0.0000 0.0000
Eu 0.5000 0.5000 0.5000
Rh 0.2500 0.2500 0.2500

Properties
- E_form (eV/atom) = -0.41
- space-group type = No. 216
- spin magnetization (μB per formula unit) = 7.1
- ΔE to the lowest computed polymorph (eV per atom) = 0.0443
- energy (eV per atom) = -7.65